Crystalline Al2Ga2As at its relaxed geometry. Source: the Alexandria database, functional PBE-GGA.

Unit cell a=7.3902 b=7.3902 c=3.4266 alpha=90.00 beta=90.00 gamma=90.00
Sites, in units of the cell vectors:
Ga  0.6743  0.8257  0.5000
Ga  0.1743  0.6743  0.5000
Ga  0.8257  0.3257  0.5000
Ga  0.3257  0.1743  0.5000
As  0.5000  0.5000  0.0000
As  0.0000  0.0000  0.0000
Al  0.6300  0.1300  0.0000
Al  0.8700  0.6300  0.0000
Al  0.3700  0.8700  0.0000
Al  0.1300  0.3700  0.0000

The polymorph energy (0 for the lowest one) is 6 kJ/mol of formula units. As for the formation energy from the elements: 139 meV per atom. For the density of states at the Fermi level, the calculation gives 5.17 states/eV/cell. The space-group type is P4/mbm, No. 127. The calculation puts the spin magnetization at 0.00 Bohr magnetons per cell. The crystal system is tetragonal.